Below is a geometry-optimized DyTmHg6 structure, with properties calculated at the PBE level.

The structure belongs to space group Amm2 (No. 38); the cell edges are 4.8510, 7.0650 and 10.8633 Å and the angles 90.00°, 90.00° and 90.00°. The distinct sites, in fractional coordinates, are Dy at (0.0000, 0.0000, 0.0000), Tm at (0.5000, 0.0000, 0.2830), Hg at (0.0000, 0.0000, 0.4655), Hg at (0.0000, 0.2313, 0.7352), Hg at (0.5000, 0.0000, 0.8158) and Hg at (0.5000, 0.2291, 0.5491).

The value obtained for the energy above the most stable polymorph in this dataset is 0.9 kJ/mol of atoms. As for the total energy: -1.675 eV/atom.